# As2Se2Br

A geometry-optimized As2Se2Br structure (GGA-PBEsol, Alexandria).

Geometry as POSCAR:
```
As2Se2Br
1.0
8.115 0.000 0.000
0.000 8.115 0.000
0.000 0.000 3.544
As Se Br
4 4 2
Cartesian
1.743 2.314 0.000
2.314 6.372 0.000
5.801 1.743 0.000
6.372 5.801 0.000
1.135 5.193 1.772
2.922 1.135 1.772
5.193 6.980 1.772
6.980 2.922 1.772
0.000 0.000 0.000
4.058 4.058 0.000
```

Results
Fermi-level density of states: 0.357 states/eV/atom
total magnetic moment: 0.000 μB per atom
raw formation energy: 0 meV/atom

# H2S

A geometry-optimized H2S structure (GGA-PBEsol, Alexandria).

Geometry as POSCAR:
```
H2S
1.0
12.726 0.000 0.000
0.000 12.726 0.000
0.000 0.000 4.053
H S
32 16
Cartesian
0.633 1.465 0.000
0.774 7.825 4.026
1.281 5.712 2.040
1.465 12.093 2.026
1.609 2.524 1.377
1.686 8.837 1.436
2.186 4.647 3.441
2.524 11.117 3.403
3.888 1.686 3.462
4.257 8.092 0.671
4.634 4.257 2.697
4.647 10.540 1.415
4.901 0.774 2.000
5.111 7.143 2.186
5.583 5.111 0.160
5.712 11.445 0.013
7.014 1.281 0.013
7.143 7.615 0.160
7.615 5.583 2.186
7.825 11.952 2.000
8.079 2.186 1.415
8.092 8.468 2.697
8.468 4.634 0.671
8.837 11.040 3.462
10.202 1.609 3.403
10.540 8.079 3.441
11.040 3.888 1.436
11.117 10.202 1.377
11.261 0.633 2.026
11.445 7.014 2.040
11.952 4.901 4.026
12.093 11.261 0.000
1.061 4.510 2.675
1.350 10.913 2.721
1.813 1.350 0.695
1.884 7.653 0.773
4.455 5.380 3.458
4.510 11.665 0.648
5.073 1.884 2.800
5.380 8.271 1.431
7.346 4.455 1.431
7.653 10.842 2.800
8.216 1.061 0.648
8.271 7.346 3.458
10.842 5.073 0.773
10.913 11.375 0.695
11.375 1.813 2.721
11.665 8.216 2.675
```

Results
excess energy over the best structure of this formula in the dataset: 12 meV per atom
Fermi-level density of states: 0.000 states/eV/atom
total magnetic moment: 0.000 μB per atom

# CdSiMo2

A geometry-optimized CdSiMo2 structure (GGA-PBEsol, Alexandria).

Geometry as POSCAR:
```
CdSiMo2
1.0
2.788 -4.117 0.000
2.788 4.117 0.000
0.000 0.000 2.692
Cd Si Mo
1 1 2
Cartesian
0.000 0.000 0.000
2.788 0.000 0.000
1.394 2.058 1.346
1.394 -2.058 1.346
```

Results
excess energy over the best structure of this formula in the dataset: 23 meV per atom
Fermi-level density of states: 0.825 states/eV/atom
total magnetic moment: 0.000 μB per atom
raw formation energy: 365 meV/atom

# NaTc2AgIr

A geometry-optimized NaTc2AgIr structure (GGA-PBEsol, Alexandria).

Geometry as POSCAR:
```
NaTc2AgIr
1.0
4.866 0.000 0.000
0.000 4.866 0.000
0.000 0.000 4.876
Na Tc Ag Ir
1 2 1 1
Cartesian
0.000 0.000 0.000
0.000 2.433 2.438
2.433 0.000 2.438
2.433 2.433 2.438
2.433 2.433 0.000
```

Results
Fermi-level density of states: 1.476 states/eV/atom
total magnetic moment: 1.295 μB per atom
electronic total energy: -25.1 eV/f.u.

# LaScBe2Ag

A geometry-optimized LaScBe2Ag structure (GGA-PBEsol, Alexandria).

Geometry as POSCAR:
```
LaScBe2Ag
1.0
4.798 0.000 0.000
0.000 4.798 0.000
0.000 0.000 5.183
La Sc Be Ag
1 1 2 1
Cartesian
0.000 0.000 0.000
0.000 0.000 2.591
0.000 2.399 2.591
2.399 0.000 2.591
2.399 2.399 0.000
```

Results
Fermi-level density of states: 0.930 states/eV/atom
total magnetic moment: 0.000 μB per atom
electronic total energy: -16.6 eV/f.u.

# CdRhIN2

A geometry-optimized CdRhIN2 structure (GGA-PBEsol, Alexandria).

Geometry as POSCAR:
```
CdRhIN2
1.0
4.066 0.000 0.000
0.000 4.066 0.000
0.000 0.000 6.256
Cd Rh I N
1 1 1 2
Cartesian
0.000 0.000 0.000
2.033 2.033 3.128
0.000 0.000 3.128
0.000 2.033 0.000
2.033 0.000 0.000
```

Results
Fermi-level density of states: 0.946 states/eV/atom
total magnetic moment: 0.875 μB per atom
raw formation energy: 2002 meV/atom